Entry 1:
VASP calculation (PBEsol) on Eu2Ga7Ag after structural relaxation.

Output
- volume (Å³ per cell) = 194.8
- ρ (g cm⁻³) = 7.67
- VASP energy (eV per cell) = -52.647
- calculated formation energy (eV per atom) = -0.483
- size of the total moment (μB/atom) = 1.381
- space group = P-4m2

Cell: 4.2609 4.2609 10.7298 Å, 90.00 90.00 90.00°
Last column: nearest neighbours and their distance in Å.
Element x y z (fractional)
Eu: 0.5000 0.0000 0.7454  14 Ga 3.23-3.46, 2 Ag 3.46
Eu: 0.0000 0.5000 0.2546  14 Ga 3.23-3.46, 2 Ag 3.46
Ga: 0.0000 0.5000 0.8639  3 Ga 2.44-2.58, 2 Ag 2.58
Ga: 0.5000 0.0000 0.3640  5 Ga 2.44-2.58
Ga: 0.5000 0.0000 0.1361  3 Ga 2.44-2.58, 2 Ag 2.58
Ga: 0.0000 0.5000 0.6360  5 Ga 2.44-2.58
Ga: 0.0000 0.0000 0.5000  4 Ga 2.58
Ga: 0.0000 0.0000 0.0000  4 Ga 2.58
Ga: 0.5000 0.5000 0.5000  4 Ga 2.58
Ag: 0.5000 0.5000 0.0000  4 Ga 2.58


Entry 2:
VASP calculation (PBEsol) on Ca2TeRh after structural relaxation.

Output
- volume (Å³ per cell) = 102.4
- ρ (g cm⁻³) = 5.04
- energy relative to the elements, uncorrected (eV per atom) = -0.517
- VASP energy (eV per cell) = -17.998
- size of the total moment (μB/atom) = 0.000
- space group = R-3m

Cell: 3.8573 3.8573 8.2564 Å, 76.49 76.49 60.00°
Last column: nearest neighbours and their distance in Å.
Element x y z (fractional)
Ca: 0.2420 0.2420 0.2739  3 Rh 2.86, 3 Te 3.11
Ca: 0.7580 0.7580 0.7261  3 Rh 2.86, 3 Te 3.11
Te: 0.0000 0.0000 0.0000  6 Ca 3.11
Rh: 0.5000 0.5000 0.5000  6 Ca 2.86


Entry 3:
VASP calculation (PBEsol) on NaMn2BiO6 after structural relaxation.

Output
- volume (Å³ per cell) = 105.1
- ρ (g cm⁻³) = 6.92
- energy relative to the elements, uncorrected (eV per atom) = -1.552
- VASP energy (eV per cell) = -72.225
- size of the total moment (μB/atom) = 0.600
- space group = R3

Cell: 5.3135 5.3135 5.2796 Å, 59.79 59.79 60.00°
Last column: nearest neighbours and their distance in Å.
Element x y z (fractional)
Na: 0.2653 0.2653 0.2042  6 O 2.32-2.53
Mn: 0.0112 0.0112 0.9665  6 O 1.85-1.96
Mn: 0.5106 0.5106 0.4682  6 O 1.87-1.95
Bi: 0.7738 0.7738 0.6787  6 O 2.33-2.38
O: 0.1892 0.7507 0.7413  2 Mn 1.85-1.95
O: 0.3188 0.1892 0.7413  2 Mn 1.85-1.95
O: 0.7507 0.3188 0.7413  2 Mn 1.85-1.95
O: 0.2378 0.6895 0.2537  2 Mn 1.87-1.96
O: 0.6895 0.8191 0.2537  2 Mn 1.87-1.96
O: 0.8191 0.2378 0.2537  2 Mn 1.87-1.96


Entry 4:
VASP calculation (PBEsol) on TaCrIr2 after structural relaxation.

Output
- volume (Å³ per cell) = 57.3
- ρ (g cm⁻³) = 17.90
- VASP energy (eV per cell) = -44.095
- calculated formation energy (eV per atom) = -0.414
- size of the total moment (μB/atom) = 0.425
- space group = P4/mmm

Cell: 3.7531 3.9059 3.9059 Å, 90.00 90.00 90.00°
Last column: nearest neighbours and their distance in Å.
Element x y z (fractional)
Cr: 0.5000 0.0000 0.0000  8 Ir 2.71, 4 Ta 2.76
Ir: 0.0000 0.0000 0.5000  4 Cr 2.71, 4 Ta 2.71, 4 Ir 2.76
Ir: 0.0000 0.5000 0.0000  4 Cr 2.71, 4 Ta 2.71, 4 Ir 2.76
Ta: 0.5000 0.5000 0.5000  8 Ir 2.71, 4 Cr 2.76


Entry 5:
VASP calculation (PBEsol) on FeAgMo3 after structural relaxation.

Output
- volume (Å³ per cell) = 102.7
- ρ (g cm⁻³) = 7.30
- VASP energy (eV per cell) = -33.523
- calculated formation energy (eV per atom) = 2.811
- size of the total moment (μB/atom) = 0.653
- space group = Pm-3m

Cell: 4.6828 4.6828 4.6828 Å, 90.00 90.00 90.00°
Last column: nearest neighbours and their distance in Å.
Element x y z (fractional)
Mo: 0.0000 0.5000 0.0000  2 Ag 2.34
Mo: 0.0000 0.0000 0.5000  2 Ag 2.34
Mo: 0.5000 0.0000 0.0000  2 Ag 2.34
Fe: 0.5000 0.5000 0.5000  12 Mo 3.31
Ag: 0.0000 0.0000 0.0000  6 Mo 2.34


Entry 6:
VASP calculation (PBEsol) on SrPbCl2 after structural relaxation.

Output
- volume (Å³ per cell) = 109.2
- ρ (g cm⁻³) = 5.56
- energy relative to the elements, uncorrected (eV per atom) = -1.214
- VASP energy (eV per cell) = -14.709
- size of the total moment (μB/atom) = 0.000
- space group = I-4m2

Cell: 4.1938 4.1938 6.8804 Å, 107.74 107.74 90.00°
Last column: nearest neighbours and their distance in Å.
Element x y z (fractional)
Pb: 0.5000 0.5000 0.0000  4 Cl 2.97
Sr: 0.2500 0.7500 0.5000  4 Cl 2.97
Cl: 0.0000 0.0000 0.0000  4 Pb 2.97
Cl: 0.7500 0.2500 0.5000  4 Sr 2.97


Entry 7:
VASP calculation (PBEsol) on AlSi3W2 after structural relaxation.

Output
- volume (Å³ per cell) = 82.5
- ρ (g cm⁻³) = 9.64
- energy relative to the elements, uncorrected (eV per atom) = -0.369
- VASP energy (eV per cell) = -51.162
- size of the total moment (μB/atom) = 0.000
- space group = P4mm

Cell: 3.2030 3.2030 8.0429 Å, 90.00 90.00 90.00°
Last column: nearest neighbours and their distance in Å.
Element x y z (fractional)
Si: 0.0000 0.0000 0.6669  5 W 2.58-2.61, 5 Si 2.64-2.66
Si: 0.0000 0.0000 0.3367  5 W 2.64-2.80, 4 Al 2.64, 1 Si 2.66
Si: 0.5000 0.5000 0.8354  5 W 2.58-2.66, 4 Si 2.64, 1 Al 2.67
Al: 0.5000 0.5000 0.1680  5 Si 2.64-2.67, 5 W 2.69-2.71
W: 0.0000 0.0000 0.9882  6 Si 2.58-2.80, 4 Al 2.69
W: 0.5000 0.5000 0.5047  9 Si 2.61-2.66, 1 Al 2.71


Entry 8:
VASP calculation (PBEsol) on SrWSe3 after structural relaxation.

Output
- volume (Å³ per cell) = 121.9
- ρ (g cm⁻³) = 6.92
- energy relative to the elements, uncorrected (eV per atom) = -0.606
- VASP energy (eV per cell) = -30.231
- size of the total moment (μB/atom) = 0.000
- space group = Pm-3m

Cell: 4.9586 4.9586 4.9586 Å, 90.00 90.00 90.00°
Last column: nearest neighbours and their distance in Å.
Element x y z (fractional)
Sr: 0.5000 0.5000 0.5000  12 Se 3.51
Se: 0.0000 0.5000 0.0000  2 W 2.48
Se: 0.0000 0.0000 0.5000  2 W 2.48
Se: 0.5000 0.0000 0.0000  2 W 2.48
W: 0.0000 0.0000 0.0000  6 Se 2.48